(1)
Below is a relaxed structure of ReNiBr, with properties calculated at the GGA-PBE level.

SG ... F-43m (216)
Volume ... 16.01 A^3/atom
E_form (uncorrected) ... 1.560 eV per atom
Magnetic moment ... 0.000 μB/atom

abc: 4.0803 4.0803 4.0803
angles: 60.00 60.00 60.00
Element x y z (fractional)
Br 0.7500 0.7500 0.7500
Ni 0.0000 0.0000 0.0000
Re 0.5000 0.5000 0.5000



(2)
Below is a relaxed structure of Re3NiBr, with properties calculated at the GGA-PBE level.

SG ... Pm-3m (221)
Volume ... 18.75 A^3/atom
E_form (uncorrected) ... 2.305 eV per atom
Magnetic moment ... 0.703 μB/atom

abc: 4.5425 4.5425 4.5425
angles: 90.00 90.00 90.00
Element x y z (fractional)
Re 0.0000 0.5000 0.0000
Re 0.0000 0.0000 0.5000
Re 0.5000 0.0000 0.0000
Br 0.5000 0.5000 0.5000
Ni 0.0000 0.0000 0.0000



(3)
Below is a relaxed structure of ReNiSeBr2, with properties calculated at the GGA-PBE level.

SG ... P4/mmm (123)
Volume ... 22.81 A^3/atom
E_form (uncorrected) ... 1.058 eV per atom
Magnetic moment ... 0.967 μB/atom

abc: 4.7418 4.7418 5.0732
angles: 90.00 90.00 90.00
Element x y z (fractional)
Re 0.5000 0.5000 0.5000
Se 0.0000 0.0000 0.5000
Br 0.0000 0.5000 0.0000
Br 0.5000 0.0000 0.0000
Ni 0.0000 0.0000 0.0000



(4)
Below is a relaxed structure of ReNiSeBr2, with properties calculated at the GGA-PBE level.

SG ... P4/mmm (123)
Volume ... 24.20 A^3/atom
E_form (uncorrected) ... 0.975 eV per atom
Magnetic moment ... 0.192 μB/atom

abc: 5.1340 5.1340 4.5911
angles: 90.00 90.00 90.00
Element x y z (fractional)
Re 0.0000 0.0000 0.0000
Se 0.0000 0.0000 0.5000
Br 0.0000 0.5000 0.0000
Br 0.5000 0.0000 0.0000
Ni 0.5000 0.5000 0.5000



| no. | polymorph energy (0 for the lowest one) (eV/atom) |
| --- | --- |
| 1 | 0.852 |
| 2 | 0.000 |
| 3 | 0.083 |
| 4 | 0.000 |